Pa8TcPt5 | PBE | relaxed

- calculated total energy (eV per atom) = -8.936
- N(E_F) (states/eV/atom) = 1.949
- total magnetic moment (μB/cell) = 0.0
- crystal system = tetragonal

a = 7.4827 Å, b = 7.4827 Å, c = 7.4827 Å
α = 110.85°, β = 110.85°, γ = 106.74°
With the nearest neighbours (Å) after each atom.
Element x y z (fractional)
Pa  0.0072  0.8892  0.2850  1 Tc 2.68, 2 Pt 2.80-2.91
Pa  0.1060  0.3895  0.6220  4 Pt 2.81-3.14, 1 Pa 2.98
Pa  0.1108  0.3958  0.1179  1 Tc 2.68, 2 Pt 2.80-2.91
Pa  0.2779  0.9928  0.8821  1 Tc 2.68, 2 Pt 2.80-2.91
Pa  0.5160  0.8940  0.2835  4 Pt 2.81-3.14, 1 Pa 2.98
Pa  0.6042  0.7221  0.7150  1 Tc 2.68, 2 Pt 2.80-2.91
Pa  0.6105  0.2324  0.7165  4 Pt 2.81-3.14, 1 Pa 2.98
Pa  0.7676  0.4840  0.3780  4 Pt 2.81-3.14, 1 Pa 2.98
Tc  0.2500  0.7500  0.5000  4 Pa 2.68
Pt  0.3574  0.2459  0.3448  6 Pa 2.80-3.05
Pt  0.5000  0.5000  0.0000  4 Pa 2.89
Pt  0.7541  0.0989  0.1115  6 Pa 2.80-3.05
Pt  0.9011  0.0127  0.6552  6 Pa 2.80-3.05
Pt  0.9873  0.6426  0.8885  6 Pa 2.80-3.05

Pa8Tc5Pt | PBE | relaxed

- calculated total energy (eV per atom) = -9.819
- N(E_F) (states/eV/atom) = 1.293
- total magnetic moment (μB/cell) = 0.0
- crystal system = tetragonal

a = 7.3837 Å, b = 7.3837 Å, c = 7.3837 Å
α = 108.55°, β = 108.55°, γ = 111.33°
With the nearest neighbours (Å) after each atom.
Element x y z (fractional)
Pa  0.0128  0.8837  0.2570  3 Tc 2.70-2.77
Pa  0.1094  0.3801  0.6264  2 Tc 2.66-2.76, 1 Pt 2.87
Pa  0.1163  0.3733  0.1291  3 Tc 2.70-2.77
Pa  0.2442  0.9872  0.8709  3 Tc 2.70-2.77
Pa  0.5170  0.8906  0.2707  2 Tc 2.66-2.76, 1 Pt 2.87
Pa  0.6199  0.2463  0.7293  2 Tc 2.66-2.76, 1 Pt 2.87
Pa  0.6267  0.7558  0.7430  3 Tc 2.70-2.77
Pa  0.7537  0.4830  0.3736  2 Tc 2.66-2.76, 1 Pt 2.87
Tc  0.0023  0.6224  0.8976  4 Pa 2.66-2.76
Tc  0.2500  0.7500  0.5000  8 Pa 2.77-3.10
Tc  0.3776  0.2752  0.3800  4 Pa 2.66-2.76
Tc  0.7248  0.1048  0.1024  4 Pa 2.66-2.76
Tc  0.8952  0.9977  0.6200  4 Pa 2.66-2.76
Pt  0.5000  0.5000  0.0000  8 Pa 2.87-3.19

PaTcPt2 | PBE | relaxed

- calculated total energy (eV per atom) = -8.761
- N(E_F) (states/eV/atom) = 1.023
- total magnetic moment (μB/cell) = 0.0
- crystal system = tetragonal

a = 4.0280 Å, b = 4.0280 Å, c = 4.3319 Å
α = 90.00°, β = 90.00°, γ = 90.00°
With the nearest neighbours (Å) after each atom.
Element x y z (fractional)
Pa  0.0000  0.0000  0.0000  4 Tc 2.85, 8 Pt 2.96
Tc  0.5000  0.5000  0.0000  4 Pa 2.85, 8 Pt 2.96
Pt  0.0000  0.5000  0.5000  4 Pt 2.85, 4 Tc 2.96, 4 Pa 2.96
Pt  0.5000  0.0000  0.5000  4 Pt 2.85, 4 Tc 2.96, 4 Pa 2.96

Pa2TcPt | PBE | relaxed

- calculated total energy (eV per atom) = -9.389
- N(E_F) (states/eV/atom) = 0.682
- total magnetic moment (μB/cell) = 0.0
- crystal system = trigonal

a = 3.9779 Å, b = 3.9779 Å, c = 19.9274 Å
α = 90.00°, β = 90.00°, γ = 120.00°
With the nearest neighbours (Å) after each atom.
Element x y z (fractional)
Pa  0.0000  0.0000  0.2443  3 Tc 2.77, 3 Pt 2.90
Pa  0.0000  0.0000  0.7557  3 Tc 2.77, 3 Pt 2.90
Pa  0.3333  0.6667  0.4224  3 Tc 2.77, 3 Pt 2.90
Pa  0.3333  0.6667  0.9110  3 Tc 2.77, 3 Pt 2.90
Pa  0.6667  0.3333  0.0890  3 Tc 2.77, 3 Pt 2.90
Pa  0.6667  0.3333  0.5776  3 Tc 2.77, 3 Pt 2.90
Tc  0.0000  0.0000  0.5000  6 Pa 2.77
Tc  0.3333  0.6667  0.1667  6 Pa 2.77
Tc  0.6667  0.3333  0.8333  6 Pa 2.77
Pt  0.0000  0.0000  0.0000  6 Pa 2.90
Pt  0.3333  0.6667  0.6667  6 Pa 2.90
Pt  0.6667  0.3333  0.3333  6 Pa 2.90

Pa2TcPt | PBE | relaxed

- calculated total energy (eV per atom) = -9.245
- N(E_F) (states/eV/atom) = 1.749
- total magnetic moment (μB/cell) = 0.0
- crystal system = tetragonal

a = 4.5160 Å, b = 4.5160 Å, c = 4.0126 Å
α = 90.00°, β = 90.00°, γ = 90.00°
With the nearest neighbours (Å) after each atom.
Element x y z (fractional)
Pa  0.0000  0.5000  0.0000  4 Pt 3.02, 4 Tc 3.02, 4 Pa 3.19
Pa  0.5000  0.0000  0.0000  4 Pt 3.02, 4 Tc 3.02, 4 Pa 3.19
Tc  0.0000  0.0000  0.5000  8 Pa 3.02, 4 Pt 3.19
Pt  0.5000  0.5000  0.5000  8 Pa 3.02, 4 Tc 3.19

PaTc2Pt | PBE | relaxed

- calculated total energy (eV per atom) = -9.478
- N(E_F) (states/eV/atom) = 1.165
- total magnetic moment (μB/cell) = 0.0
- crystal system = tetragonal

a = 4.1466 Å, b = 4.1466 Å, c = 4.0200 Å
α = 90.00°, β = 90.00°, γ = 90.00°
With the nearest neighbours (Å) after each atom.
Element x y z (fractional)
Pa  0.0000  0.0000  0.0000  8 Tc 2.89, 4 Pt 2.93
Tc  0.0000  0.5000  0.5000  4 Pa 2.89, 4 Pt 2.89, 4 Tc 2.93
Tc  0.5000  0.0000  0.5000  4 Pa 2.89, 4 Pt 2.89, 4 Tc 2.93
Pt  0.5000  0.5000  0.0000  8 Tc 2.89, 4 Pa 2.93